Computed, not measured: a relaxed structure of KMgTe2 at the PBE level of DFT.

The structure in POSCAR format:
```
KMgTe2
1.0
-3.4234 3.4234 7.8037
3.4234 -3.4234 7.8037
3.4234 3.4234 -7.8037
K Mg Te
2 2 4
Cartesian
0.0000 0.0000 0.0000
0.0000 3.4234 3.9019
3.4234 0.0000 3.9019
0.0000 0.0000 7.8037
1.7117 -0.9826 5.8528
2.4408 1.7117 1.9509
1.7117 4.4059 -1.9509
0.9826 1.7117 9.7547
```

=====

K2MgTe, relaxed, DFT PBE; distance to the lowest polymorph of the same formula = 1.91 kcal/mol of atoms
1.0
0.0000 4.2435 4.2435
4.2435 0.0000 4.2435
4.2435 4.2435 0.0000
K Mg Te
2 1 1
Cartesian
2.1217 2.1217 2.1217
6.3652 6.3652 6.3652
0.0000 0.0000 0.0000
4.2435 4.2435 4.2435

=====

KMgTe, relaxed, DFT PBE; distance to the lowest polymorph of the same formula = 0.00 kcal/mol of atoms
1.0
4.6241 0.0000 0.0000
-2.3120 4.0046 0.0000
0.0000 0.0000 6.3787
K Mg Te
1 1 1
Cartesian
0.0000 0.0000 0.0000
2.3120 1.3349 2.8921
0.0000 2.6697 3.9376

=====

Computed, not measured: a relaxed structure of K3Mg2Te4 at the PBE level of DFT.

The structure in POSCAR format:
```
K3Mg2Te4
1.0
4.2631 0.0000 0.0000
-2.1294 9.7256 0.0000
-2.1304 -4.5812 8.9054
K Mg Te
3 2 4
Cartesian
0.0000 0.0000 0.0000
0.0022 0.7049 5.1395
0.0012 4.4395 3.7659
-2.1271 1.5536 8.5414
2.1305 3.5908 0.3640
-2.1302 -1.1057 7.4331
-2.1296 3.4866 6.5546
2.1330 1.6578 2.3508
2.1336 6.2501 1.4723
```

=====

Number 1: energy -2.84 eV per atom, formation energy without anion corrections -0.595 eV/atom. Number 2: energy -2.18 eV per atom, formation energy without anion corrections -0.451 eV/atom. Number 3: energy -2.50 eV per atom, formation energy without anion corrections -0.553 eV/atom. Number 4: energy -3.02 eV per atom, formation energy without anion corrections -0.902 eV/atom.